The following is a PBE calculation of an optimized crystal structure of CsTl3Pt2, from Alexandria via LeMat-Bulk.

extended XYZ file:
```
12
Lattice="-2.0626 -5.4296 -0.6980 1.5790 0.4000 -7.7776 6.0381 -2.8477 4.3099" Properties=species:S:1:pos:R:3 pbc="T T T"
Cs 2.1617 -2.2178 -1.3933
Tl 5.6882 -3.7035 -0.2563
Tl 1.5989 -5.4357 0.7869
Tl -0.8952 -4.2817 -0.8202
Cs 3.3929 -5.6597 -2.7723
Pt 5.2344 -2.2623 2.1311
Pt 1.3515 -2.9003 -5.9478
Tl 6.4498 -3.5958 -3.3455
Pt 2.3828 -0.1855 -5.5988
Tl 3.9557 -2.4417 -4.9525
Pt 4.2031 -4.9772 1.7821
Tl -0.1335 -4.1739 -3.9094
```

Results
* raw total energy: -3.428 eV/atom
* total magnetic moment: 0.0 μB per formula unit
* calculated volume: 28.24 A^3/atom